## LaYAsBr2 (GGA-PBEsol)

Data for LaYAsBr2 after structural relaxation.

The structure belongs to space group P4/mmm (No. 123); the cell edges are 5.246, 5.246 and 5.531 Å and the angles 90.00°, 90.00° and 90.00°. The inequivalent atoms are La at (0.000, 0.000, 0.000), Y at (0.500, 0.500, 0.500), As at (0.500, 0.500, 0.000) and Br at (0.000, 0.500, 0.500).

The calculated volume is 152 Å³ per cell. The calculation puts the total magnetization at 0.43 μB/cell. The total energy comes out at -5.20 eV/atom.

=====

## LaZrAsBr2 (GGA-PBEsol)

Data for LaZrAsBr2 after structural relaxation.

The structure belongs to space group P4/mmm (No. 123); the cell edges are 5.518, 5.518 and 5.854 Å and the angles 90.00°, 90.00° and 90.00°. The inequivalent atoms are La at (0.000, 0.000, 0.000), Zr at (0.500, 0.500, 0.500), As at (0.000, 0.000, 0.500) and Br at (0.000, 0.500, 0.000).

The calculated volume is 178 Å³ per cell. The calculation puts the total magnetization at 2.04 μB/cell. The total energy comes out at -4.69 eV/atom.

=====

## Li2AsBr (GGA-PBEsol)

Data for Li2AsBr after structural relaxation.

The structure belongs to space group I4/mmm (No. 139); the cell edges are 4.365, 4.365 and 7.648 Å and the angles 90.00°, 90.00° and 90.00°. The inequivalent atoms are Li at (0.000, 0.500, 0.250), As at (0.000, 0.000, 0.000) and Br at (0.000, 0.000, 0.500).

The calculated volume is 146 Å³ per cell. The calculation puts the total magnetization at 0.00 μB/cell. The total energy comes out at -3.20 eV/atom.

=====

## LiAsBr2 (GGA-PBEsol)

Data for LiAsBr2 after structural relaxation.

The structure belongs to space group Cmmm (No. 65); the cell edges are 3.496, 6.200 and 8.193 Å and the angles 90.00°, 90.00° and 90.00°. The inequivalent atoms are Li at (0.000, 0.000, 0.000), As at (0.000, 0.000, 0.500) and Br at (0.000, 0.500, 0.221).

The calculated volume is 178 Å³ per cell. The calculation puts the total magnetization at 0.00 μB/cell. The total energy comes out at -3.05 eV/atom.

=====

Across the entries above, formation energy from raw total energies takes the values -1.001 -0.036 -0.471 -0.344 eV per atom, respectively.